Entry 1:
VASP calculation (GGA-PBE) on crystalline CaHoEr2Sb4 at its relaxed geometry.

Lattice parameters (Å, degrees): 7.6382 4.3617 7.6410 90.00 109.05 90.00
Closest atoms and distances in Å follow each position.
Atoms (fractional coordinates):
Ca 0.0000 0.0000 0.0000  6 Sb 3.15-3.16
Ho 0.5000 0.5000 0.0000  6 Sb 3.11-3.12
Er 0.0000 0.5000 0.5000  6 Sb 3.11
Er 0.5000 0.0000 0.5000  6 Sb 3.06-3.07
Sb 0.2525 0.0000 0.7460  3 Er 3.07-3.11, 2 Ho 3.11, 1 Ca 3.15
Sb 0.2573 0.5000 0.2581  3 Er 3.06-3.11, 1 Ho 3.12, 2 Ca 3.16
Sb 0.7427 0.5000 0.7419  3 Er 3.06-3.11, 1 Ho 3.12, 2 Ca 3.16
Sb 0.7475 0.0000 0.2540  3 Er 3.07-3.11, 2 Ho 3.11, 1 Ca 3.15

Computed properties:
Symmetry: P2/m, No. 10
Crystal system: monoclinic
Magnetic moment, μB/f.u.: 0.0
Formation energy from raw total energies, eV/atom: -1.014

---

Entry 2:
VASP calculation (GGA-PBE) on crystalline CaHoErSc at its relaxed geometry.

Lattice parameters (Å, degrees): 5.5865 5.5865 5.5865 60.00 60.00 60.00
Closest atoms and distances in Å follow each position.
Atoms (fractional coordinates):
Ca 0.0000 0.0000 0.0000  4 Ho 3.42, 4 Er 3.42
Ho 0.7500 0.7500 0.7500  4 Sc 3.42, 4 Ca 3.42
Er 0.2500 0.2500 0.2500  4 Sc 3.42, 4 Ca 3.42
Sc 0.5000 0.5000 0.5000  4 Ho 3.42, 4 Er 3.42

Computed properties:
Symmetry: F-43m, No. 216
Energy relative to the elements, kJ/mol of formula units: 73
Crystal system: cubic
Magnetic moment, μB/f.u.: 0.0

---

Entry 3:
VASP calculation (GGA-PBE) on crystalline CaHo2ErSe4 at its relaxed geometry.

Lattice parameters (Å, degrees): 7.0647 4.0629 7.0734 90.00 109.16 90.00
Closest atoms and distances in Å follow each position.
Atoms (fractional coordinates):
Ca 0.0000 0.0000 0.0000  6 Se 2.89-2.90
Ho 0.0000 0.5000 0.5000  6 Se 2.89
Ho 0.5000 0.0000 0.5000  6 Se 2.87
Er 0.5000 0.5000 0.0000  6 Se 2.87-2.88
Se 0.2519 0.0000 0.7504  3 Ho 2.87-2.89, 2 Er 2.88, 1 Ca 2.89
Se 0.2534 0.5000 0.2521  3 Ho 2.87-2.89, 1 Er 2.87, 2 Ca 2.90
Se 0.7466 0.5000 0.7479  3 Ho 2.87-2.89, 1 Er 2.87, 2 Ca 2.90
Se 0.7481 0.0000 0.2496  3 Ho 2.87-2.89, 2 Er 2.88, 1 Ca 2.89

Computed properties:
Symmetry: P2/m, No. 10
Crystal system: monoclinic
Magnetic moment, μB/f.u.: 0.0
Formation energy from raw total energies, eV/atom: -1.780

---

Entry 4:
VASP calculation (GGA-PBE) on crystalline CaHo4Er3Se8 at its relaxed geometry.

Lattice parameters (Å, degrees): 8.1279 8.1279 8.1279 59.94 59.94 59.94
Closest atoms and distances in Å follow each position.
Atoms (fractional coordinates):
Ca 0.0000 0.0000 0.0000  6 Se 2.88
Ho 0.0000 0.0000 0.5000  6 Se 2.88
Ho 0.0000 0.5000 0.0000  6 Se 2.88
Ho 0.5000 0.0000 0.0000  6 Se 2.88
Ho 0.5000 0.5000 0.5000  6 Se 2.86
Er 0.0000 0.5000 0.5000  6 Se 2.86-2.87
Er 0.5000 0.0000 0.5000  6 Se 2.86-2.87
Er 0.5000 0.5000 0.0000  6 Se 2.86-2.87
Se 0.2506 0.2506 0.2506  3 Er 2.86, 3 Ho 2.88
Se 0.2508 0.2508 0.7479  3 Ho 2.86-2.88, 2 Er 2.87, 1 Ca 2.88
Se 0.2508 0.7479 0.2508  3 Ho 2.86-2.88, 2 Er 2.87, 1 Ca 2.88
Se 0.2521 0.7492 0.7492  3 Ho 2.86-2.88, 2 Er 2.87, 1 Ca 2.88
Se 0.7479 0.2508 0.2508  3 Ho 2.86-2.88, 2 Er 2.87, 1 Ca 2.88
Se 0.7492 0.2521 0.7492  3 Ho 2.86-2.88, 2 Er 2.87, 1 Ca 2.88
Se 0.7492 0.7492 0.2521  3 Ho 2.86-2.88, 2 Er 2.87, 1 Ca 2.88
Se 0.7494 0.7494 0.7494  3 Er 2.86, 3 Ho 2.88

Computed properties:
Symmetry: R-3m, No. 166
Crystal system: trigonal
Magnetic moment, μB/f.u.: 0.0
Formation energy from raw total energies, eV/atom: -1.739

---

Entry 5:
VASP calculation (GGA-PBE) on crystalline Ca2HoErSe4 at its relaxed geometry.

Lattice parameters (Å, degrees): 7.0821 4.0923 7.2074 90.00 109.17 90.00
Closest atoms and distances in Å follow each position.
Atoms (fractional coordinates):
Ca 0.0000 0.0000 0.0000  6 Se 2.94
Ca 0.5000 0.5000 0.0000  6 Se 2.93-2.94
Ho 0.0000 0.5000 0.5000  6 Se 2.89
Er 0.5000 0.0000 0.5000  6 Se 2.88
Se 0.2489 0.0000 0.7436  1 Er 2.88, 2 Ho 2.89, 3 Ca 2.93-2.94
Se 0.2530 0.5000 0.2571  2 Er 2.88, 1 Ho 2.89, 3 Ca 2.94
Se 0.7470 0.5000 0.7429  2 Er 2.88, 1 Ho 2.89, 3 Ca 2.94
Se 0.7511 0.0000 0.2564  1 Er 2.88, 2 Ho 2.89, 3 Ca 2.93-2.94

Computed properties:
Symmetry: P2/m, No. 10
Crystal system: monoclinic
Magnetic moment, μB/f.u.: 0.0
Formation energy from raw total energies, eV/atom: -1.856

---

Entry 6:
VASP calculation (GGA-PBE) on crystalline Ca4Ho3ErSe8 at its relaxed geometry.

Lattice parameters (Å, degrees): 8.2899 8.2899 8.2899 59.17 59.17 59.17
Closest atoms and distances in Å follow each position.
Atoms (fractional coordinates):
Ca 0.0000 0.0000 0.0000  6 Se 2.94
Ca 0.0000 0.5000 0.5000  6 Se 2.94
Ca 0.5000 0.0000 0.5000  6 Se 2.94
Ca 0.5000 0.5000 0.0000  6 Se 2.94
Ho 0.0000 0.0000 0.5000  6 Se 2.89
Ho 0.0000 0.5000 0.0000  6 Se 2.89
Ho 0.5000 0.0000 0.0000  6 Se 2.89
Er 0.5000 0.5000 0.5000  6 Se 2.88
Se 0.2480 0.2480 0.2480  3 Ho 2.89, 3 Ca 2.94
Se 0.2487 0.7473 0.7473  1 Er 2.88, 2 Ho 2.89, 3 Ca 2.94
Se 0.2527 0.2527 0.7513  1 Er 2.88, 2 Ho 2.89, 3 Ca 2.94
Se 0.2527 0.7513 0.2527  1 Er 2.88, 2 Ho 2.89, 3 Ca 2.94
Se 0.7473 0.2487 0.7473  1 Er 2.88, 2 Ho 2.89, 3 Ca 2.94
Se 0.7473 0.7473 0.2487  1 Er 2.88, 2 Ho 2.89, 3 Ca 2.94
Se 0.7513 0.2527 0.2527  1 Er 2.88, 2 Ho 2.89, 3 Ca 2.94
Se 0.7520 0.7520 0.7520  3 Ho 2.89, 3 Ca 2.94

Computed properties:
Symmetry: R-3m, No. 166
Crystal system: trigonal
Magnetic moment, μB/f.u.: 0.0
Formation energy from raw total energies, eV/atom: -1.860

---

Entry 7:
VASP calculation (GGA-PBE) on crystalline CaHoEr2Se4 at its relaxed geometry.

Lattice parameters (Å, degrees): 7.0579 4.0591 7.0618 90.00 109.17 90.00
Closest atoms and distances in Å follow each position.
Atoms (fractional coordinates):
Ca 0.0000 0.0000 0.0000  6 Se 2.89-2.90
Ho 0.0000 0.5000 0.5000  6 Se 2.88-2.89
Er 0.5000 0.0000 0.5000  6 Se 2.86
Er 0.5000 0.5000 0.0000  6 Se 2.87
Se 0.2525 0.0000 0.7499  3 Er 2.86-2.87, 2 Ho 2.89, 1 Ca 2.89
Se 0.2545 0.5000 0.2533  3 Er 2.86-2.87, 1 Ho 2.88, 2 Ca 2.90
Se 0.7455 0.5000 0.7467  3 Er 2.86-2.87, 1 Ho 2.88, 2 Ca 2.90
Se 0.7475 0.0000 0.2501  3 Er 2.86-2.87, 2 Ho 2.89, 1 Ca 2.89

Computed properties:
Symmetry: P2/m, No. 10
Crystal system: monoclinic
Magnetic moment, μB/f.u.: 0.0
Formation energy from raw total energies, eV/atom: -1.774

---

Entry 8:
VASP calculation (GGA-PBE) on crystalline CaHo2Er3Se6 at its relaxed geometry.

Lattice parameters (Å, degrees): 9.0898 9.0898 8.1632 103.10 103.10 25.76
Closest atoms and distances in Å follow each position.
Atoms (fractional coordinates):
Ca 0.0000 0.0000 0.0000  6 Se 2.89
Ho 0.3293 0.3293 0.6583  6 Se 2.85-2.93
Ho 0.6707 0.6707 0.3417  6 Se 2.85-2.93
Er 0.0000 0.0000 0.5000  6 Se 2.83-2.86
Er 0.3330 0.3330 0.1733  6 Se 2.83-2.90
Er 0.6670 0.6670 0.8267  6 Se 2.83-2.90
Se 0.1642 0.1642 0.5837  3 Er 2.83, 3 Ho 2.85
Se 0.1677 0.1677 0.0816  3 Er 2.85-2.90, 1 Ca 2.89, 2 Ho 2.93
Se 0.4989 0.4989 0.7463  3 Er 2.86-2.90, 2 Ca 2.89, 1 Ho 2.92
Se 0.5011 0.5011 0.2537  3 Er 2.86-2.90, 2 Ca 2.89, 1 Ho 2.92
Se 0.8323 0.8323 0.9184  3 Er 2.85-2.90, 1 Ca 2.89, 2 Ho 2.93
Se 0.8358 0.8358 0.4163  3 Er 2.83, 3 Ho 2.85

Computed properties:
Symmetry: C2/m, No. 12
Crystal system: monoclinic
Magnetic moment, μB/f.u.: 0.0
Formation energy from raw total energies, eV/atom: -1.755

---

- Look up the magnetic moment of the seventh one.
  0.0 μB/f.u.

---

- Which formula does entry 7 have?
  CaHoEr2Se4